## Zn3PO (PBE-GGA)

Data for a relaxed structure of Zn3PO.

## Properties
ΔE_f (raw) ... -0.128 eV/atom
N(E_F) ... 1.3 states/eV/f.u.
Polymorph energy (0 for the lowest one) ... 0 meV per atom
Total magnetic moment ... 0.00 μB/f.u.

Lattice parameters (Å, degrees): 4.1895 4.1895 4.1895 90.00 90.00 90.00
Closest atoms and distances in Å follow each position.
Fractional positions:
1 Zn 0.0000 0.0000 0.5000  2 O 2.09
2 Zn 0.0000 0.5000 0.0000  2 O 2.09
3 O 0.0000 0.0000 0.0000  6 Zn 2.09
4 Zn 0.5000 0.0000 0.0000  2 O 2.09
5 P 0.5000 0.5000 0.5000  12 Zn 2.96

---

## Zn2PO (PBE-GGA)

Data for a relaxed structure of Zn2PO.

## Properties
ΔE_f (raw) ... 0.159 eV/atom
N(E_F) ... 2.7 states/eV/f.u.
Polymorph energy (0 for the lowest one) ... 710 meV per atom
Total magnetic moment ... 1.01 μB/f.u.

Lattice parameters (Å, degrees): 4.2234 4.2234 4.2234 60.00 60.00 60.00
Closest atoms and distances in Å follow each position.
Fractional positions:
1 P 0.5000 0.5000 0.5000  8 Zn 2.59
2 Zn 0.7500 0.7500 0.7500  4 O 2.59, 4 P 2.59
3 Zn 0.2500 0.2500 0.2500  4 O 2.59, 4 P 2.59
4 O 0.0000 0.0000 0.0000  8 Zn 2.59

---

## ZnPO2 (PBE-GGA)

Data for a relaxed structure of ZnPO2.

## Properties
ΔE_f (raw) ... 0.005 eV/atom
N(E_F) ... 1.0 states/eV/f.u.
Polymorph energy (0 for the lowest one) ... 962 meV per atom
Total magnetic moment ... 0.00 μB/f.u.

Lattice parameters (Å, degrees): 3.8991 3.8991 3.8991 60.00 60.00 60.00
Closest atoms and distances in Å follow each position.
Fractional positions:
1 O 0.2500 0.2500 0.2500  4 Zn 2.39, 4 P 2.39
2 P 0.0000 0.0000 0.0000  8 O 2.39
3 O 0.7500 0.7500 0.7500  4 Zn 2.39, 4 P 2.39
4 Zn 0.5000 0.5000 0.5000  8 O 2.39

---

## Zn2PO2 (PBE-GGA)

Data for a relaxed structure of Zn2PO2.

## Properties
ΔE_f (raw) ... -0.147 eV/atom
N(E_F) ... 1.8 states/eV/f.u.
Polymorph energy (0 for the lowest one) ... 260 meV per atom
Total magnetic moment ... 0.00 μB/f.u.

Lattice parameters (Å, degrees): 6.4740 6.4740 2.7460 90.00 90.00 90.00
Closest atoms and distances in Å follow each position.
Fractional positions:
1 P 0.5000 0.5000 0.0000  4 O 2.47, 2 P 2.75
2 O 0.6475 0.1475 0.0000  6 Zn 2.29-2.38, 2 P 2.47
3 O 0.1475 0.3525 0.0000  6 Zn 2.29-2.38, 2 P 2.47
4 Zn 0.8475 0.3475 0.5000  6 O 2.29-2.38
5 Zn 0.1525 0.6525 0.5000  6 O 2.29-2.38
6 Zn 0.3475 0.1525 0.5000  6 O 2.29-2.38
7 P 0.0000 0.0000 0.0000  4 O 2.47, 2 P 2.75
8 O 0.3525 0.8525 0.0000  6 Zn 2.29-2.38, 2 P 2.47
9 O 0.8525 0.6475 0.0000  6 Zn 2.29-2.38, 2 P 2.47
10 Zn 0.6525 0.8475 0.5000  6 O 2.29-2.38

---

## ZnP2O2 (PBE-GGA)

Data for a relaxed structure of ZnP2O2.

## Properties
ΔE_f (raw) ... 0.998 eV/atom
N(E_F) ... 3.5 states/eV/f.u.
Polymorph energy (0 for the lowest one) ... 1532 meV per atom
Total magnetic moment ... 0.00 μB/f.u.

Lattice parameters (Å, degrees): 4.6239 4.6239 3.6283 90.00 90.00 90.00
Closest atoms and distances in Å follow each position.
Fractional positions:
1 P 0.5000 0.0000 0.0000  2 Zn 2.31
2 Zn 0.0000 0.0000 0.0000  2 O 1.81
3 O 0.0000 0.0000 0.5000  2 Zn 1.81
4 P 0.0000 0.5000 0.0000  2 Zn 2.31
5 O 0.5000 0.5000 0.5000  8 P 2.94, 4 O 3.27

---

## ZrZnP2O (PBE-GGA)

Data for a relaxed structure of ZrZnP2O.

## Properties
ΔE_f (raw) ... -0.034 eV/atom
N(E_F) ... 3.4 states/eV/f.u.
Polymorph energy (0 for the lowest one) ... 262 meV per atom
Total magnetic moment ... 0.00 μB/f.u.

Lattice parameters (Å, degrees): 4.6735 4.6735 3.7272 90.00 90.00 90.00
Closest atoms and distances in Å follow each position.
Fractional positions:
1 Zn 0.0000 0.0000 0.0000  2 O 1.86
2 P 0.5000 0.0000 0.0000  2 Zn 2.34
3 Zr 0.5000 0.5000 0.5000  8 P 2.99, 4 O 3.30
4 O 0.0000 0.0000 0.5000  2 Zn 1.86
5 P 0.0000 0.5000 0.0000  2 Zn 2.34

---

## ZrZnP2O (PBE-GGA)

Data for a relaxed structure of ZrZnP2O.

## Properties
ΔE_f (raw) ... -0.295 eV/atom
N(E_F) ... 5.1 states/eV/f.u.
Polymorph energy (0 for the lowest one) ... 0 meV per atom
Total magnetic moment ... 0.00 μB/f.u.

Lattice parameters (Å, degrees): 5.2062 5.2062 3.9792 90.00 90.00 90.00
Closest atoms and distances in Å follow each position.
Fractional positions:
1 O 0.0000 0.0000 0.5000  2 Zr 1.99
2 P 0.0000 0.5000 0.0000  2 Zr 2.60
3 Zr 0.0000 0.0000 0.0000  2 O 1.99
4 P 0.5000 0.0000 0.0000  2 Zr 2.60
5 Zn 0.5000 0.5000 0.5000  8 P 3.28

---

## ZrP2O2 (PBE-GGA)

Data for a relaxed structure of ZrP2O2.

## Properties
ΔE_f (raw) ... -0.807 eV/atom
N(E_F) ... 1.4 states/eV/f.u.
Polymorph energy (0 for the lowest one) ... 111 meV per atom
Total magnetic moment ... 0.00 μB/f.u.

Lattice parameters (Å, degrees): 3.7470 3.7470 4.6013 90.00 90.00 90.00
Closest atoms and distances in Å follow each position.
Fractional positions:
1 Zr 0.5000 0.5000 0.5000  4 P 2.65, 8 O 2.97
2 P 0.0000 0.0000 0.0000  4 O 1.87
3 P 0.0000 0.0000 0.5000  2 P 2.30
4 O 0.0000 0.5000 0.0000  2 P 1.87
5 O 0.5000 0.0000 0.0000  2 P 1.87

---

## Zr2P4O17 (PBE-GGA)

Data for a relaxed structure of Zr2P4O17.

## Properties
ΔE_f (raw) ... -1.998 eV/atom
N(E_F) ... 10.9 states/eV/f.u.
Polymorph energy (0 for the lowest one) ... 95 meV per atom
Total magnetic moment ... 4.03 μB/f.u.

Lattice parameters (Å, degrees): 5.4984 7.0993 9.5428 90.59 90.00 90.00
Closest atoms and distances in Å follow each position.
Fractional positions:
1 P 0.0000 0.7737 0.6702  4 O 1.52-1.62
2 P 0.5000 0.2386 0.8317  4 O 1.54-1.55
3 O 0.0000 0.5453 0.6694  1 P 1.62, 1 O 1.65
4 O 0.5000 0.5443 0.1506  1 P 1.55
5 O 0.7284 0.8436 0.0976  1 P 1.54
6 O 0.2716 0.8436 0.0976  1 P 1.54
7 O 0.5000 0.1868 0.6744  1 P 1.54
8 P 0.0000 0.2263 0.3298  4 O 1.52-1.62
9 O 0.0000 0.4547 0.3306  1 P 1.62, 1 O 1.65
10 O 0.2716 0.1564 0.9024  1 P 1.54
11 O 0.2301 0.1560 0.4010  1 P 1.52
12 O 0.7699 0.8440 0.5990  1 P 1.52
13 Zr 0.0000 0.0000 0.0000  6 O 2.09-2.10
14 O 0.7699 0.1560 0.4010  1 P 1.52
15 Zr 0.5000 0.0000 0.5000  6 O 2.08-2.12
16 O 0.5000 0.4557 0.8494  1 P 1.55
17 O 0.0000 0.1853 0.1724  1 P 1.53
18 O 0.2301 0.8440 0.5990  1 P 1.52
19 O 0.0000 0.5000 0.5000  2 O 1.65
20 P 0.5000 0.7614 0.1683  4 O 1.54-1.55
21 O 0.7284 0.1564 0.9024  1 P 1.54
22 O 0.5000 0.8132 0.3256  1 P 1.54
23 O 0.0000 0.8147 0.8276  1 P 1.53